# Fe4H14O13

A geometry-optimized Fe4H14O13 structure (GGA+U, the Alexandria database).

Values from the calculation:
The calculation puts the energy above the most stable polymorph in this dataset at 0 kJ/mol of formula units. For the final energy, the calculation gives -169.2 eV/cell.

Unit cell a=6.6987 b=6.7026 c=6.6874 alpha=108.78 beta=110.11 gamma=109.52
With the nearest neighbours (Å) after each atom.
Sites, in units of the cell vectors:
O 0.1784 0.8554 0.6693  1 H 1.00
O 0.3271 0.2689 0.5967  1 H 1.04
O 0.3511 0.1748 0.1626  1 H 1.01
O 0.5107 0.0088 0.4992  2 H 0.98-1.00
O 0.6213 0.8123 0.8023  1 H 1.01
O 0.6770 0.3169 0.9894  1 H 1.00
O 0.8168 0.4994 0.6689  1 H 1.00
O 0.0034 0.1808 0.8103  1 H 0.99
O 0.6723 0.6729 0.3463  1 H 1.00
O 0.8138 0.1427 0.3142  1 H 1.00
O 0.1730 0.4971 0.3145  1 H 1.00
O 0.9841 0.8154 0.1634  1 H 1.00
O 0.3189 0.7059 0.0330  1 H 1.00
H 0.8022 0.2571 0.4443  1 O 1.00
H 0.0438 0.3632 0.3111  1 O 1.00
H 0.6878 0.5456 0.2349  1 O 1.00
H 0.5338 0.9262 0.5945  1 O 0.98
H 0.8725 0.0534 0.8085  1 O 0.99
H 0.5458 0.3233 0.8661  1 O 1.00
H 0.3935 0.1519 0.5504  1 O 1.04
H 0.4405 0.6593 0.1069  1 O 1.00
H 0.9460 0.6356 0.6756  1 O 1.00
H 0.4262 0.8862 0.3231  1 O 1.00
H 0.1173 0.9444 0.1674  1 O 1.00
H 0.2321 0.1874 0.0327  1 O 1.01
H 0.1793 0.7293 0.5393  1 O 1.00
H 0.7505 0.8083 0.9318  1 O 1.01
Fe 0.4891 0.4887 0.4852  6 O 2.03-2.11
Fe 0.9882 0.4943 0.9866  6 O 2.04-2.11
Fe 0.4916 0.9985 0.9932  6 O 2.04-2.10
Fe 0.9899 0.9973 0.4863  6 O 2.05-2.12


# PuAlNi2O6

A geometry-optimized PuAlNi2O6 structure (GGA+U, the Alexandria database).

Values from the calculation:
For the final energy, the calculation gives -69.0 eV/cell.

Unit cell a=3.9512 b=5.7335 c=5.7335 alpha=90.00 beta=90.00 gamma=90.00
With the nearest neighbours (Å) after each atom.
Sites, in units of the cell vectors:
Al 0.7358 0.0000 0.0000  6 O 1.93-1.99
O 0.2403 0.0000 0.0000  2 Al 1.96-1.99
O 0.7440 0.2386 0.7614  1 Al 1.93, 2 Ni 2.03, 1 Pu 2.12
O 0.2367 0.5000 0.5000  2 Pu 1.97-1.98
O 0.7440 0.7614 0.7614  1 Al 1.93, 2 Ni 2.03, 1 Pu 2.12
O 0.7440 0.7614 0.2386  1 Al 1.93, 2 Ni 2.03, 1 Pu 2.12
O 0.7440 0.2386 0.2386  1 Al 1.93, 2 Ni 2.03, 1 Pu 2.12
Ni 0.7610 0.0000 0.5000  4 O 2.03
Ni 0.7610 0.5000 0.0000  4 O 2.03
Pu 0.7358 0.5000 0.5000  6 O 1.97-2.12